Material: RbEuO2
Method: DFT, GGA-PBEsol
State: optimized geometry

E_tot (eV/atom): -7.8164
Total moment (μB per formula unit): 6.00

a = 6.7612 Å, b = 6.7612 Å, c = 6.7612 Å
α = 30.48°, β = 30.48°, γ = 30.48°
Fractional coordinates of all 4 atoms:
1 Rb 0.0000 0.0000 0.0000
2 Eu 0.5000 0.5000 0.5000
3 O 0.2268 0.2268 0.2268
4 O 0.7732 0.7732 0.7732